8
Lattice="-2.9786 2.9786 6.3988 2.9786 -2.9786 6.3988 2.9786 2.9786 -6.3988" Properties=species:S:1:pos:R:3 comment="PBE KCCl2, relaxed" magmom_total_mub_per_fu=1.0 space_group="I-42d (122)" e_form_raw_ev_per_atom=0.440 pbc="T T T"
K 0.0000 0.0000 0.0000
K 0.0000 2.9786 3.1994
C 2.9786 0.0000 3.1994
C 0.0000 0.0000 6.3988
Cl 1.4893 -0.6602 4.7991
Cl 2.3184 1.4893 1.5997
Cl 1.4893 3.6388 -1.5997
Cl 0.6602 1.4893 7.9985

***

12
Lattice="7.6705 0.0000 0.0000 0.0000 2.7095 0.0000 -0.0027 0.0000 8.1513" Properties=species:S:1:pos:R:3 comment="PBE IrRu3Rh2, relaxed" magmom_total_mub_per_fu=0.0 e_form_ev_per_fu=0.21 space_group="P2_1/m (11)" pbc="T T T"
Ir 0.9548 0.6774 2.0663
Ir 6.7130 2.0321 6.0850
Ru 0.9394 0.6774 4.7576
Ru 2.8820 2.0321 6.1496
Ru 2.8976 2.0321 0.6592
Ru 4.7702 0.6774 7.4922
Ru 4.7858 0.6774 2.0017
Ru 6.7284 2.0321 3.3937
Rh 0.9759 0.6774 7.4462
Rh 2.8820 2.0321 3.3885
Rh 4.7859 0.6774 4.7628
Rh 6.6919 2.0321 0.7051

***

9
Lattice="4.8514 0.0000 0.0000 -2.4257 4.2014 0.0000 0.0000 0.0000 4.8748" Properties=species:S:1:pos:R:3 comment="PBE SrMgH6Ir, relaxed" magmom_total_mub_per_fu=0.0 space_group="P312 (149)" total_energy_ev_per_atom=-3.98 pbc="T T T"
Sr 0.0000 0.0000 0.0000
Mg 0.0000 2.8009 2.4374
H 2.0308 0.1932 3.5718
H 1.1827 1.6622 1.3030
H 2.8205 0.1932 1.3030
H 1.5776 2.3460 3.5718
H 3.6686 1.6622 3.5718
H 3.2738 2.3460 1.3030
Ir 2.4257 1.4005 2.4374

***

8
Lattice="-1.9766 2.4894 9.7886 1.9766 -2.4894 9.7886 1.9766 2.4894 -9.7886" Properties=species:S:1:pos:R:3 comment="PBE Pu3Hg2Au3, relaxed" magmom_total_mub_per_fu=17.5 e_form_ev_per_fu=-2.35 space_group="Immm (71)" pbc="T T T"
Pu 0.0000 0.0000 0.0000
Pu 1.9766 0.0000 7.3509
Pu 0.0000 2.4894 2.4377
Hg 0.0000 0.0000 4.7039
Hg 0.0000 0.0000 14.8734
Au 1.9766 0.0000 2.3927
Au 0.0000 0.0000 9.7886
Au 0.0000 2.4894 7.3959

***

4
Lattice="3.0132 0.0000 0.0000 0.0000 3.0132 0.0000 0.0000 0.0000 9.5841" Properties=species:S:1:pos:R:3 comment="PBE ReSe2Br, relaxed" magmom_total_mub_per_fu=0.0 space_group="P4mm (99)" e_form_raw_ev_per_atom=0.438 pbc="T T T"
Re 0.0000 0.0000 0.0000
Se 0.0000 0.0000 4.6831
Se 1.5066 1.5066 1.4806
Br 1.5066 1.5066 7.7857

***

7
Lattice="-2.1018 2.1781 9.3416 2.1018 -2.1781 9.3416 2.1018 2.1781 -9.3416" Properties=species:S:1:pos:R:3 comment="PBE Pm2SmGa4, relaxed" magmom_total_mub_per_fu=0.3 e_form_ev_per_fu=-4.45 space_group="Immm (71)" pbc="T T T"
Pm 0.0000 0.0000 3.4391
Pm 0.0000 0.0000 15.2440
Sm 2.1018 0.0000 0.0000
Ga 0.0000 0.0000 6.6767
Ga 2.1018 0.0000 8.1135
Ga 0.0000 2.1781 1.2281
Ga 0.0000 0.0000 12.0064

***

11
Lattice="10.7849 0.0000 0.0000 0.0000 2.8889 6.0501 0.0000 -2.8889 6.0501" Properties=species:S:1:pos:R:3 comment="PBE La4Tb3Y4, relaxed" magmom_total_mub_per_fu=0.0 e_form_ev_per_fu=1.60 space_group="Amm2 (38)" pbc="T T T"
La 0.0000 0.0000 0.0000
La 2.2018 0.0000 9.7791
La 5.3924 0.0000 11.1151
La 8.5831 0.0000 9.7791
Tb 0.0000 0.0000 3.5709
Tb 3.1143 0.0000 5.4632
Tb 7.6706 0.0000 5.4632
Y 0.0000 0.0000 7.1915
Y 3.2664 0.0000 1.7695
Y 5.3924 0.0000 7.8206
Y 7.5184 0.0000 1.7695

***

5
Lattice="4.9441 0.0000 0.0000 0.0000 4.9441 0.0000 0.0000 0.0000 4.9441" Properties=species:S:1:pos:R:3 comment="PBE KLi3Ni, relaxed" magmom_total_mub_per_fu=0.0 e_form_ev_per_fu=1.28 space_group="Pm-3m (221)" pbc="T T T"
K 0.0000 0.0000 0.0000
Li 0.0000 2.4721 2.4721
Li 2.4721 0.0000 2.4721
Li 2.4721 2.4721 0.0000
Ni 2.4721 2.4721 2.4721

***

5
Lattice="6.8977 0.0000 0.0000 0.0000 6.8977 0.0000 0.0000 0.0000 4.5859" Properties=species:S:1:pos:R:3 comment="PBE Cs2ZrTaBe, relaxed" magmom_total_mub_per_fu=0.3 e_form_ev_per_fu=10.91 space_group="P4/mmm (123)" pbc="T T T"
Cs 0.0000 3.4489 0.0000
Cs 3.4489 0.0000 0.0000
Zr 0.0000 0.0000 2.2930
Ta 3.4489 3.4489 0.0000
Be 3.4489 3.4489 2.2930

***

5
Lattice="6.2636 0.0000 0.0000 0.0000 6.2636 0.0000 0.0000 0.0000 5.3585" Properties=species:S:1:pos:R:3 comment="PBE RbMg2BPt, relaxed" magmom_total_mub_per_fu=0.0 e_form_ev_per_fu=11.21 space_group="P4/mmm (123)" pbc="T T T"
Rb 0.0000 0.0000 0.0000
Mg 0.0000 3.1318 0.0000
Mg 3.1318 0.0000 0.0000
B 3.1318 3.1318 2.6792
Pt 0.0000 0.0000 2.6792

***

10
Lattice="3.5200 0.0000 0.0000 0.0000 3.5200 0.0000 0.0000 0.0000 17.6372" Properties=species:S:1:pos:R:3 comment="PBE Tm5ZnGa4, relaxed" magmom_total_mub_per_fu=0.0 e_form_ev_per_fu=-5.29 space_group="P4/mmm (123)" pbc="T T T"
Tm 0.0000 0.0000 0.0000
Tm 0.0000 0.0000 3.5469
Tm 0.0000 0.0000 7.0839
Tm 0.0000 0.0000 10.5532
Tm 0.0000 0.0000 14.0903
Zn 1.7600 1.7600 8.8186
Ga 1.7600 1.7600 1.7651
Ga 1.7600 1.7600 5.3375
Ga 1.7600 1.7600 12.2997
Ga 1.7600 1.7600 15.8721

***

16
Lattice="1.7380 -6.1021 0.0000 1.7380 6.1021 0.0000 0.0000 0.0000 11.9043" Properties=species:S:1:pos:R:3 comment="PBE PmTh2TcN4, relaxed" magmom_total_mub_per_fu=0.0 space_group="Cmcm (63)" e_form_raw_ev_per_atom=-1.089 pbc="T T T"
Pm 1.7380 4.6799 8.9282
Pm 1.7380 -4.6799 2.9761
Th 1.7380 1.6074 6.5665
Th 1.7380 1.6074 11.2899
Th 1.7380 -1.6074 0.6144
Th 1.7380 -1.6074 5.3378
Tc 1.7380 4.3242 2.9761
Tc 1.7380 -4.3242 8.9282
N 0.0000 0.0000 0.0000
N 0.0000 0.0000 5.9521
N 1.7380 2.7694 1.5215
N 1.7380 2.7694 4.4307
N 1.7380 0.4756 8.9282
N 1.7380 -0.4756 2.9761
N 1.7380 -2.7694 7.4736
N 1.7380 -2.7694 10.3828